Computed, not measured: a geometry-optimized Ag2CI structure at the PBE-GGA level of DFT.

Unit cell a=6.542 b=6.542 c=6.542 alpha=124.55 beta=124.55 gamma=82.28
Atoms (fractional coordinates):
Ag1 0.007 0.625 0.882
Ag2 0.375 0.257 0.382
Ag3 0.743 0.125 0.118
Ag4 0.875 0.993 0.618
C1 0.000 0.000 0.000
C2 0.750 0.250 0.500
I1 0.250 0.750 0.500
I2 0.500 0.500 0.000

- density (Mg/m³) = 6.5
- energy above the most stable polymorph in this dataset (meV/atom) = 0.0